[1]
La5Pt after structural relaxation. Source: the Alexandria database, functional PBE-GGA.

Cell: 5.934 8.811 8.811 Å, 24.98 90.00 90.00°
Sites, in units of the cell vectors:
La 0.000 0.000 0.000
La 0.000 0.268 0.268
La 0.500 0.104 0.104
La 0.500 0.427 0.427
La 0.500 0.752 0.752
Pt 0.000 0.635 0.635

Properties
E_tot	-32.25	eV per formula unit
energy relative to the lowest polymorph listed for this composition	0.0930	eV per atom
calculated volume	194.5	Å³ per cell
crystal system	orthorhombic
formation energy	-0.2612	eV/atom

[2]
Pr2PdAu after structural relaxation. Source: the Alexandria database, functional PBE-GGA.

Cell: 5.041 5.041 5.041 Å, 60.00 60.00 60.00°
Sites, in units of the cell vectors:
Pr 0.000 0.000 0.000
Pr 0.250 0.250 0.250
Pd 0.750 0.750 0.750
Au 0.500 0.500 0.500

Properties
E_tot	-20.19	eV per formula unit
calculated volume	90.6	Å³ per cell
crystal system	cubic
formation energy	-0.5409	eV/atom

[3]
CsInGaSb after structural relaxation. Source: the Alexandria database, functional PBE-GGA.

Cell: 4.643 4.643 14.686 Å, 90.00 90.00 90.00°
Sites, in units of the cell vectors:
Cs 0.250 0.250 0.244
Cs 0.750 0.750 0.756
In 0.250 0.750 0.000
In 0.750 0.250 0.000
Ga 0.250 0.750 0.500
Ga 0.750 0.250 0.500
Sb 0.250 0.250 0.606
Sb 0.750 0.750 0.394

Properties
E_tot	-11.48	eV per formula unit
calculated volume	316.5	Å³ per cell
crystal system	tetragonal
formation energy (no corrections)	-18	kJ per mole of atoms

[4]
Ca3GaAg3 after structural relaxation. Source: the Alexandria database, functional PBE-GGA.

Cell: 6.026 6.026 15.368 Å, 107.53 107.53 42.60°
Sites, in units of the cell vectors:
Ca 0.027 0.027 0.386
Ca 0.106 0.106 0.922
Ca 0.245 0.245 0.233
Ca 0.755 0.755 0.767
Ca 0.894 0.894 0.078
Ca 0.973 0.973 0.614
Ga 0.263 0.263 0.606
Ga 0.737 0.737 0.394
Ag 0.363 0.363 0.458
Ag 0.389 0.389 0.922
Ag 0.468 0.468 0.764
Ag 0.532 0.532 0.236
Ag 0.611 0.611 0.078
Ag 0.637 0.637 0.542

Properties
E_tot	-19.99	eV per formula unit
energy relative to the lowest polymorph listed for this composition	0.0000	eV per atom
calculated volume	357.5	Å³ per cell
crystal system	monoclinic
formation energy	-0.3434	eV/atom

[5]
ScZnCu after structural relaxation. Source: the Alexandria database, functional PBE-GGA.

Cell: 5.174 5.174 5.174 Å, 143.36 143.36 52.79°
Sites, in units of the cell vectors:
Sc 0.000 0.000 0.000
Zn 0.313 0.313 0.000
Cu 0.679 0.679 0.000

Properties
E_tot	-12.42	eV per formula unit
calculated volume	49.0	Å³ per cell
crystal system	tetragonal
formation energy	-0.2406	eV/atom

[6]
Li2La2In5Ag after structural relaxation. Source: the Alexandria database, functional PBE-GGA.

Cell: 10.297 10.297 4.482 Å, 90.00 90.00 90.00°
Sites, in units of the cell vectors:
Li 0.110 0.390 0.000
Li 0.390 0.890 0.000
Li 0.610 0.110 0.000
Li 0.890 0.610 0.000
La 0.184 0.684 0.000
La 0.316 0.184 0.000
La 0.684 0.816 0.000
La 0.816 0.316 0.000
In 0.000 0.500 0.500
In 0.058 0.203 0.500
In 0.203 0.942 0.500
In 0.297 0.442 0.500
In 0.442 0.703 0.500
In 0.500 0.000 0.500
In 0.558 0.297 0.500
In 0.703 0.558 0.500
In 0.797 0.058 0.500
In 0.942 0.797 0.500
Ag 0.000 0.000 0.000
Ag 0.500 0.500 0.000

Properties
E_tot	-33.80	eV per formula unit
calculated volume	475.2	Å³ per cell
crystal system	tetragonal
formation energy	-0.3576	eV/atom

[7]
CaMg2Zr after structural relaxation. Source: the Alexandria database, functional PBE-GGA.

Cell: 3.331 3.331 9.382 Å, 90.00 90.00 90.00°
Sites, in units of the cell vectors:
Ca 0.000 0.000 0.000
Mg 0.000 0.000 0.503
Mg 0.500 0.500 0.281
Zr 0.500 0.500 0.720

Properties
E_tot	-13.31	eV per formula unit
calculated volume	104.1	Å³ per cell
crystal system	tetragonal
formation energy	0.1082	eV/atom

[8]
Nb2HgHRh after structural relaxation. Source: the Alexandria database, functional PBE-GGA.

Cell: 4.183 4.183 4.124 Å, 90.00 90.00 90.00°
Sites, in units of the cell vectors:
Nb 0.000 0.500 0.000
Nb 0.500 0.000 0.000
Hg 0.000 0.000 0.500
H 0.500 0.500 0.000
Rh 0.500 0.500 0.500

Properties
E_tot	-31.51	eV per formula unit
calculated volume	72.2	Å³ per cell
crystal system	tetragonal